(1)
# HfZn2TePt

HfZn2TePt after structural relaxation (PBE, Alexandria).

```
5
Lattice="-3.386 -3.303 -1.200 3.164 -1.820 -3.917 2.008 -3.186 3.103" Properties=species:S:1:pos:R:3 pbc="T T T"
Hf 1.582 -0.910 -1.958
Zn -1.693 -1.651 -0.600
Zn 1.004 -1.593 1.551
Te 0.000 0.000 0.000
Pt 0.893 -4.154 -1.007
```

- total moment (Bohr magnetons per cell) = 0.00
- energy relative to the elements, uncorrected (kJ/mol of atoms) = 95.1

(2)
# HgGeClO2

HgGeClO2 after structural relaxation (PBE, Alexandria).

```
5
Lattice="4.112 0.000 0.000 0.000 5.815 0.000 0.000 0.000 4.112" Properties=species:S:1:pos:R:3 pbc="T T T"
Ge 0.000 2.908 0.000
Cl 2.056 2.908 2.056
Hg 0.000 0.000 0.000
O 2.056 0.000 0.000
O 0.000 0.000 2.056
```

- total moment (Bohr magnetons per cell) = 0.39
- energy relative to the elements, uncorrected (kJ/mol of atoms) = 35.0

(3)
# Cs12Au4ClO3

Cs12Au4ClO3 after structural relaxation (PBE, Alexandria).

```
20
Lattice="10.548 0.000 0.000 -3.516 9.945 0.000 -3.516 -4.972 8.613" Properties=species:S:1:pos:R:3 pbc="T T T"
Cl 0.000 0.000 0.000
Cs 5.274 0.000 4.306
Cs 1.758 6.216 2.153
Cs 5.094 -3.602 6.239
Cs 1.758 -1.243 6.459
Cs 5.094 7.204 0.000
Au 1.758 2.486 4.306
Cs -5.094 3.602 6.239
Cs 1.938 -1.370 2.374
O 3.516 4.972 0.000
Cs 1.938 2.741 0.000
Cs -1.758 1.243 6.459
Cs 5.274 3.729 2.153
Cs -1.938 1.370 2.374
Au -1.758 -2.486 4.306
O 3.516 -2.486 4.306
O -3.516 2.486 4.306
Au -1.758 4.972 0.000
Au 5.274 0.000 0.000
Cs -1.758 4.972 4.306
```

- total moment (Bohr magnetons per cell) = 0.00
- energy relative to the elements, uncorrected (kJ/mol of atoms) = -71.6

(4)
# La8Pm3Dy2

La8Pm3Dy2 after structural relaxation (PBE, Alexandria).

```
13
Lattice="6.102 0.295 1.326 1.914 8.666 1.583 0.763 -0.653 8.959" Properties=species:S:1:pos:R:3 pbc="T T T"
La 4.678 0.572 6.113
La 3.546 3.242 9.311
La 4.101 7.735 5.755
La 6.036 3.832 5.785
Dy 2.807 2.406 3.478
La 2.668 6.884 9.115
Pm 3.051 0.147 0.663
Pm 1.049 1.664 7.125
La 6.112 1.423 2.752
La 5.233 5.065 2.557
La 2.743 4.475 6.083
Pm 1.628 6.349 3.417
Dy 5.973 5.901 8.389
```

- total moment (Bohr magnetons per cell) = 0.00
- energy of formation from the pure elements (eV per atom) = 0.144

(5)
# Ca2Tl6Cd

Ca2Tl6Cd after structural relaxation (PBE, Alexandria).

```
9
Lattice="-2.855 2.081 0.721 0.025 -2.870 8.381 5.202 7.727 -2.051" Properties=species:S:1:pos:R:3 pbc="T T T"
Tl -1.195 3.550 2.920
Tl -1.411 -0.920 6.084
Tl 3.551 5.215 -1.206
Tl 3.566 3.388 4.130
Tl -1.179 1.723 8.256
Tl -1.420 0.130 3.018
Ca 0.555 1.978 5.358
Ca 1.817 4.960 1.693
Cd 0.000 0.000 0.000
```

- total moment (Bohr magnetons per cell) = 0.00
- energy of formation from the pure elements (eV per atom) = -0.120

(6)
# Pr2Ga4PdAu3

Pr2Ga4PdAu3 after structural relaxation (PBE, Alexandria).

```
10
Lattice="4.434 0.000 0.000 0.000 4.434 0.000 0.000 0.000 10.510" Properties=species:S:1:pos:R:3 pbc="T T T"
Ga 2.217 0.000 6.569
Ga 0.000 2.217 3.941
Ga 2.217 2.217 0.000
Pr 2.217 0.000 2.630
Pd 2.217 2.217 5.255
Au 0.000 0.000 5.255
Au 0.000 2.217 1.417
Pr 0.000 2.217 7.880
Au 2.217 0.000 9.094
Ga 0.000 0.000 0.000
```

- total moment (Bohr magnetons per cell) = 0.00
- energy of formation from the pure elements (eV per atom) = -0.694

(7)
# BaHf3Co

BaHf3Co after structural relaxation (PBE, Alexandria).

```
5
Lattice="5.193 0.000 0.000 0.000 5.193 0.000 0.000 0.000 5.193" Properties=species:S:1:pos:R:3 pbc="T T T"
Hf 0.000 2.596 0.000
Hf 2.596 0.000 0.000
Ba 0.000 0.000 0.000
Co 2.596 2.596 2.596
Hf 0.000 0.000 2.596
```

- total moment (Bohr magnetons per cell) = 0.00
- energy of formation from the pure elements (eV per atom) = 2.560

(8)
# Tb2Nd3UN6

Tb2Nd3UN6 after structural relaxation (PBE, Alexandria).

```
12
Lattice="6.118 0.003 0.001 -3.055 5.301 0.001 -1.021 -1.768 5.840" Properties=species:S:1:pos:R:3 pbc="T T T"
N -0.072 -0.124 4.531
N 2.114 3.661 1.310
N -0.944 1.638 1.298
Nd 1.021 1.768 2.921
N 1.891 0.001 1.298
N 0.152 3.535 4.543
Tb 3.057 1.771 0.001
Nd 4.066 0.009 2.921
Tb 0.007 3.533 0.001
N 2.986 1.898 4.543
Nd -2.024 3.527 2.921
U 0.000 0.000 0.000
```

- total moment (Bohr magnetons per cell) = 0.01
- energy relative to the elements, uncorrected (kJ/mol of atoms) = -147.1

(9)
# NdSm2Ir2

NdSm2Ir2 after structural relaxation (PBE, Alexandria).

```
10
Lattice="-4.442 0.014 -0.319 0.386 -1.647 -5.457 -0.143 -10.564 1.545" Properties=species:S:1:pos:R:3 pbc="T T T"
Sm -3.304 -1.374 -0.689
Sm -1.098 -6.008 -0.516
Ir -0.933 -7.867 -2.898
Nd -0.928 -3.135 -2.753
Sm -3.101 -6.189 -3.714
Ir -3.083 -1.411 -3.770
Ir -3.266 -4.329 -1.333
Sm -0.896 -10.822 -3.542
Nd -3.271 -9.061 -1.477
Ir -1.117 -10.785 -0.460
```

- total moment (Bohr magnetons per cell) = 0.00
- energy of formation from the pure elements (eV per atom) = -0.631

(10)
# SnBi2AuC

SnBi2AuC after structural relaxation (PBE, Alexandria).

```
5
Lattice="-2.571 -1.442 4.239 3.818 -0.993 1.978 0.308 4.820 1.826" Properties=species:S:1:pos:R:3 pbc="T T T"
Bi -1.285 -0.721 2.120
Sn 1.909 -0.497 0.989
C 0.000 0.000 0.000
Au 0.778 1.192 4.022
Bi 0.154 2.410 0.913
```

- total moment (Bohr magnetons per cell) = 0.00
- energy of formation from the pure elements (eV per atom) = 0.835

(11)
# SbPt8Rh6

SbPt8Rh6 after structural relaxation (PBE, Alexandria).

```
15
Lattice="5.787 0.000 3.304 1.950 5.448 3.304 -0.337 -0.237 7.310" Properties=species:S:1:pos:R:3 pbc="T T T"
Rh 3.774 3.808 10.369
Rh 3.626 1.403 3.549
Rh 5.962 2.270 11.000
Pt 2.766 3.196 5.328
Pt 6.210 4.373 9.283
Pt 2.418 3.684 7.996
Rh 1.620 0.363 1.985
Sb 0.000 0.000 0.000
Rh 1.438 2.941 2.918
Pt 4.889 4.176 6.935
Rh 5.780 4.848 11.933
Pt 4.634 2.015 8.590
Pt 1.190 0.838 4.635
Pt 2.511 1.035 6.983
Pt 4.982 1.527 5.922
```

- total moment (Bohr magnetons per cell) = 0.00
- energy relative to the elements, uncorrected (kJ/mol of atoms) = 7.2